Record 1
# MnCo2

A geometry-optimized MnCo2 structure (PBE, Alexandria).

Lattice parameters (Å, degrees): 4.8095 4.8095 4.0352 90.00 90.00 130.38
Fractional coordinates of all 6 atoms:
Mn 0.7500 0.7500 0.7500
Co 0.9219 0.5780 0.2500
Co 0.0781 0.4220 0.7500
Co 0.4220 0.0781 0.7500
Mn 0.2500 0.2500 0.2500
Co 0.5780 0.9219 0.2500

## Properties
Size of the total moment, μB per formula unit: 6.845
Energy relative to the elements, eV/atom: 0.0543
DOS at the Fermi energy, states/eV per atom: 0.79
Space group: No. 139


Record 2
# MnCo2

A geometry-optimized MnCo2 structure (PBE, Alexandria).

Lattice parameters (Å, degrees): 3.4854 3.4851 10.9977 99.14 99.14 90.02
Fractional coordinates of all 12 atoms:
Co 0.7501 0.7502 0.5003
Co 0.8324 0.3325 0.6646
Co 0.6675 0.1676 0.3354
Mn 0.9195 0.9194 0.8393
Co 0.4999 0.9998 0.9997
Co 0.4176 0.4175 0.8354
Co 0.2498 0.2499 0.4996
Mn 0.1694 0.6695 0.3393
Mn 0.0806 0.0805 0.1607
Co 0.0002 0.5001 0.0004
Co 0.5825 0.5824 0.1646
Mn 0.3305 0.8306 0.6607

## Properties
Size of the total moment, μB per formula unit: 2.098
Energy relative to the elements, eV/atom: 0.0765
DOS at the Fermi energy, states/eV per atom: 1.24
Space group: No. 141


Record 3
# MnCoMo4

A geometry-optimized MnCoMo4 structure (PBE, Alexandria).

Lattice parameters (Å, degrees): 5.1512 5.1512 5.1512 60.00 60.00 60.00
Fractional coordinates of all 6 atoms:
Mo 0.3749 0.3749 0.8753
Mo 0.3749 0.8753 0.3749
Mo 0.8753 0.3749 0.3749
Mn 0.0000 0.0000 0.0000
Mo 0.3749 0.3749 0.3749
Co 0.7500 0.7500 0.7500

## Properties
Size of the total moment, μB per formula unit: 4.676
Energy relative to the elements, eV/atom: 0.5663
DOS at the Fermi energy, states/eV per atom: 1.43
Space group: No. 216


Record 4
# MnCoMo2

A geometry-optimized MnCoMo2 structure (PBE, Alexandria).

Lattice parameters (Å, degrees): 4.9525 4.9525 4.9525 142.73 130.20 63.81
Fractional coordinates of all 4 atoms:
Mo 0.4993 0.4993 0.0000
Mo 0.0007 0.0007 0.0000
Mn 0.2500 0.7500 0.5000
Co 0.7500 0.2500 0.5000

## Properties
Size of the total moment, μB per formula unit: 3.766
Energy relative to the elements, eV/atom: 0.1402
Excess energy over the best structure of this formula in the dataset, meV/atom: 24
DOS at the Fermi energy, states/eV per atom: 1.05
Space group: No. 71


Record 5
# MnCoMo2

A geometry-optimized MnCoMo2 structure (PBE, Alexandria).

Lattice parameters (Å, degrees): 4.6412 4.6412 4.5994 79.70 79.70 33.46
Fractional coordinates of all 4 atoms:
Mn 0.2338 0.2338 0.2402
Mo 0.9913 0.9913 0.0311
Co 0.5106 0.5106 0.5179
Mo 0.7643 0.7643 0.7108

## Properties
Size of the total moment, μB per formula unit: 1.230
Energy relative to the elements, eV/atom: 0.1599
Excess energy over the best structure of this formula in the dataset, meV/atom: 44
DOS at the Fermi energy, states/eV per atom: 1.11
Space group: No. 8


Record 6
# Mn2CoMo2

A geometry-optimized Mn2CoMo2 structure (PBE, Alexandria).

Lattice parameters (Å, degrees): 6.7526 6.7526 2.9420 90.00 90.00 90.00
Fractional coordinates of all 10 atoms:
Mn 0.1350 0.3650 0.0000
Co 0.5000 0.5000 0.0000
Mo 0.6714 0.8286 0.5000
Mo 0.3286 0.1714 0.5000
Mo 0.8286 0.3286 0.5000
Co 0.0000 0.0000 0.0000
Mn 0.3650 0.8650 0.0000
Mn 0.6350 0.1350 0.0000
Mn 0.8650 0.6350 0.0000
Mo 0.1714 0.6714 0.5000

## Properties
Size of the total moment, μB per formula unit: 2.299
Energy relative to the elements, eV/atom: 0.3278
DOS at the Fermi energy, states/eV per atom: 1.15
Space group: No. 127


Record 7
# MnCoMo2

A geometry-optimized MnCoMo2 structure (PBE, Alexandria).

Lattice parameters (Å, degrees): 4.2422 4.2422 4.2422 60.00 60.00 60.00
Fractional coordinates of all 4 atoms:
Mo 0.7500 0.7500 0.7500
Co 0.5000 0.5000 0.5000
Mn 0.0000 0.0000 0.0000
Mo 0.2500 0.2500 0.2500

## Properties
Size of the total moment, μB per formula unit: 2.548
Energy relative to the elements, eV/atom: 0.2231
Excess energy over the best structure of this formula in the dataset, meV/atom: 107
DOS at the Fermi energy, states/eV per atom: 1.51
Space group: No. 225


Record 8
# MnCoMo2

A geometry-optimized MnCoMo2 structure (PBE, Alexandria).

Lattice parameters (Å, degrees): 4.5694 4.5694 2.6907 90.00 90.00 107.76
Fractional coordinates of all 4 atoms:
Mo 0.5000 0.5000 0.0000
Co 0.5000 0.0000 0.5000
Mo 0.0000 0.0000 0.0000
Mn 0.0000 0.5000 0.5000

## Properties
Size of the total moment, μB per formula unit: 1.072
Energy relative to the elements, eV/atom: 0.1290
Excess energy over the best structure of this formula in the dataset, meV/atom: 13
DOS at the Fermi energy, states/eV per atom: 1.00
Space group: No. 65


Record 9
# Mn2Co2Mo

A geometry-optimized Mn2Co2Mo structure (PBE, Alexandria).

Lattice parameters (Å, degrees): 6.8248 6.8248 2.5121 90.00 90.00 90.00
Fractional coordinates of all 10 atoms:
Mn 0.3804 0.8804 0.0000
Co 0.1736 0.6736 0.5000
Mo 0.5000 0.5000 0.0000
Mn 0.6196 0.1196 0.0000
Mo 0.0000 0.0000 0.0000
Co 0.3264 0.1736 0.5000
Mn 0.1196 0.3804 0.0000
Co 0.6736 0.8264 0.5000
Mn 0.8804 0.6196 0.0000
Co 0.8264 0.3264 0.5000

## Properties
Size of the total moment, μB per formula unit: 0.000
Energy relative to the elements, eV/atom: 0.1473
Excess energy over the best structure of this formula in the dataset, meV/atom: 4
DOS at the Fermi energy, states/eV per atom: 1.02
Space group: No. 127


Record 10
# MnCoMo2

A geometry-optimized MnCoMo2 structure (PBE, Alexandria).

Lattice parameters (Å, degrees): 3.7451 3.7804 3.7804 90.00 90.00 90.00
Fractional coordinates of all 4 atoms:
Mo 0.0000 0.5000 0.5000
Co 0.5000 0.5000 0.0000
Mo 0.0000 0.0000 0.0000
Mn 0.5000 0.0000 0.5000

## Properties
Size of the total moment, μB per formula unit: 1.458
Energy relative to the elements, eV/atom: 0.1200
Excess energy over the best structure of this formula in the dataset, meV/atom: 4
DOS at the Fermi energy, states/eV per atom: 1.05
Space group: No. 123


Record 11
# MnCoMo2

A geometry-optimized MnCoMo2 structure (PBE, Alexandria).

Lattice parameters (Å, degrees): 4.9619 4.9619 4.9619 144.09 129.00 63.95
Fractional coordinates of all 4 atoms:
Mo 0.0032 0.0032 0.0000
Mn 0.2500 0.7500 0.5000
Mo 0.7523 0.2523 0.5000
Co 0.4945 0.4945 0.0000

## Properties
Size of the total moment, μB per formula unit: 3.254
Energy relative to the elements, eV/atom: 0.1905
Excess energy over the best structure of this formula in the dataset, meV/atom: 74
DOS at the Fermi energy, states/eV per atom: 1.26
Space group: No. 44


Record 12
# MnCoMo2

A geometry-optimized MnCoMo2 structure (PBE, Alexandria).

Lattice parameters (Å, degrees): 8.9962 8.9962 8.9962 17.14 17.14 17.14
Fractional coordinates of all 4 atoms:
Mo 0.5029 0.5029 0.5029
Mo 0.9971 0.9971 0.9971
Mn 0.7500 0.7500 0.7500
Co 0.2500 0.2500 0.2500

## Properties
Size of the total moment, μB per formula unit: 2.118
Energy relative to the elements, eV/atom: 0.3124
Excess energy over the best structure of this formula in the dataset, meV/atom: 196
DOS at the Fermi energy, states/eV per atom: 1.06
Space group: No. 166


Q: Which value of energy relative to the elements does entry 8 give?
A: 0.1290 eV/atom